No. 1
KAcSn2I8 GGA-PBE relaxed; E_form (uncorrected) = -0.978 eV/atom; calculated volume = 48.34 Å³/atom; DOS(E_F) = 0.000 states/eV per atom; symmetry = P-1, No. 2
1.0
7.4917 0.0000 0.0000
0.1148 7.9403 0.0000
0.0060 0.0030 9.7517
K Ac Sn I
1 1 2 8
Cartesian
0.0000 0.0000 0.0000
0.0030 0.0015 4.8758
3.8046 3.9718 2.3650
3.8080 3.9715 7.3866
1.9299 2.6936 4.8768
2.0381 6.6545 2.5655
2.0378 6.6522 7.1845
2.0750 2.8968 0.0018
5.5375 5.0465 9.7499
5.5748 1.2911 2.5671
5.5745 1.2888 7.1861
5.6827 5.2497 4.8748

=====

No. 2
K2AcTlI6 GGA-PBE relaxed; E_form (uncorrected) = -1.345 eV/atom; calculated volume = 49.38 Å³/atom; DOS(E_F) = 0.000 states/eV per atom; symmetry = P2_1/c, No. 14
1.0
8.5238 0.0000 0.0000
0.0000 9.2613 0.0000
-8.1656 0.0000 12.5097
K Ac Tl I
4 2 2 12
Cartesian
-0.2464 0.8652 3.0396
-4.3292 3.7655 9.2944
4.6874 5.4959 3.2152
0.6046 8.3961 9.4701
4.2619 0.0000 0.0000
0.1791 4.6307 6.2548
-4.0828 0.0000 6.2548
0.0000 4.6307 0.0000
-6.5735 1.6632 11.6582
-2.4907 2.9675 5.4034
-5.3659 6.5010 11.5169
-1.2831 7.3910 5.2620
-2.7297 0.5503 9.4965
1.3531 4.0803 3.2417
-0.9949 5.1810 9.2680
3.0879 8.7110 3.0132
1.6413 1.8703 7.2477
5.7241 2.7604 0.9928
2.8489 6.2938 7.1063
6.9317 7.5981 0.8514

=====

No. 3
KAcTl2I6 GGA-PBE relaxed; E_form (uncorrected) = -1.178 eV/atom; calculated volume = 49.27 Å³/atom; DOS(E_F) = 0.000 states/eV per atom; symmetry = P2_1/c, No. 14
1.0
8.4665 0.0000 0.0000
0.0000 9.3987 0.0000
-7.7291 0.0000 12.3826
K Ac Tl I
2 2 4 12
Cartesian
0.0000 0.0000 0.0000
-3.8646 4.6993 6.1913
0.3687 0.0000 6.1913
4.2332 4.6993 0.0000
-3.8917 0.7650 8.8472
-0.0272 3.9343 2.6559
0.7645 5.4644 9.7267
4.6291 8.6337 3.5354
-2.4142 1.6069 5.6404
-6.2788 3.0925 11.8317
-1.1141 6.7207 4.9948
-4.9787 7.3774 11.1861
1.4849 0.7400 3.2025
-2.3797 3.9593 9.3938
3.1170 5.4393 2.9888
-0.7475 8.6587 9.1801
5.7160 2.0213 1.1965
1.8515 2.6780 7.3878
7.0162 6.3062 0.5509
3.1516 7.7918 6.7422

=====

No. 4
Ac2LaI GGA-PBE relaxed; E_form (uncorrected) = -0.394 eV/atom; offset from the most stable computed form = 13.5 meV/atom; calculated volume = 40.73 Å³/atom; DOS(E_F) = 1.001 states/eV per atom; symmetry = P4/mmm, No. 123
1.0
3.9395 0.0000 0.0000
0.0000 3.9395 0.0000
0.0000 0.0000 10.4977
Ac La I
2 1 1
Cartesian
0.0000 0.0000 2.5593
0.0000 0.0000 7.9385
1.9698 1.9698 5.2489
1.9698 1.9698 0.0000

=====

No. 5
Ac2LaI8 GGA-PBE relaxed; E_form (uncorrected) = -1.317 eV/atom; calculated volume = 61.48 Å³/atom; DOS(E_F) = 0.008 states/eV per atom; symmetry = C2/m, No. 12
1.0
8.2318 -6.0692 0.0000
8.2318 6.0692 0.0000
-0.0449 0.0000 6.7681
Ac La I
2 1 8
Cartesian
3.4189 0.0000 1.4356
12.9998 0.0000 5.3325
-0.0225 0.0000 3.3840
6.8727 3.6731 5.0962
2.9565 0.0000 4.8571
9.5460 3.6731 1.6719
6.4780 0.0000 1.7199
9.9407 0.0000 5.0482
6.8727 -3.6731 5.0962
13.4622 0.0000 1.9109
9.5460 -3.6731 1.6719

=====

No. 6
AcLaI5 GGA-PBE relaxed; E_form (uncorrected) = -1.491 eV/atom; calculated volume = 46.53 Å³/atom; DOS(E_F) = 0.148 states/eV per atom; symmetry = P2_1/m, No. 11
1.0
9.5591 0.0000 0.0000
0.0000 4.4543 0.0000
-1.2553 0.0000 15.2996
Ac La I
2 2 10
Cartesian
0.5861 1.1136 2.4358
7.7178 3.3407 12.8639
3.3740 3.3407 5.3774
4.9298 1.1136 9.9223
0.3933 1.1136 11.9337
1.0217 1.1136 5.7878
1.7557 3.3407 0.2017
2.8026 3.3407 8.7160
3.9227 1.1136 3.0116
4.3811 3.3407 12.2880
5.5012 1.1136 6.5836
6.5481 1.1136 15.0979
7.2822 3.3407 9.5118
7.9105 3.3407 3.3659

=====

No. 7
AcLa2I8 GGA-PBE relaxed; E_form (uncorrected) = -1.330 eV/atom; calculated volume = 39.60 Å³/atom; DOS(E_F) = 0.809 states/eV per atom; symmetry = C2/m, No. 12
1.0
4.9193 -7.2268 0.0000
4.9193 7.2268 0.0000
-1.7918 0.0000 6.1259
Ac La I
1 2 8
Cartesian
0.0000 0.0000 0.0000
4.0234 2.6419 3.0630
4.0234 -2.6419 3.0630
0.8646 1.8525 3.5681
4.9193 3.8595 0.0000
0.8646 -1.8525 3.5681
3.2766 0.0000 1.0649
4.7703 0.0000 5.0610
7.1822 1.8525 2.5578
4.9193 -3.8595 0.0000
7.1822 -1.8525 2.5578

=====

No. 8
Ac2LaI GGA-PBE relaxed; E_form (uncorrected) = -0.408 eV/atom; offset from the most stable computed form = 0.0 meV/atom; calculated volume = 41.47 Å³/atom; DOS(E_F) = 1.346 states/eV per atom; symmetry = R3m, No. 160
1.0
2.0227 1.1678 11.7039
-2.0227 1.1678 11.7039
0.0000 -2.3357 11.7039
Ac La I
2 1 1
Cartesian
0.0000 0.0000 0.0000
0.0000 0.0000 6.2667
0.0000 0.0000 26.5459
0.0000 0.0000 20.7034

=====

No. 9
Ac2LaI GGA-PBE relaxed; E_form (uncorrected) = -0.193 eV/atom; offset from the most stable computed form = 215.2 meV/atom; calculated volume = 41.68 Å³/atom; DOS(E_F) = 1.550 states/eV per atom; symmetry = R-3m, No. 166
1.0
1.9328 1.1159 12.8824
-1.9328 1.1159 12.8824
0.0000 -2.2318 12.8824
Ac La I
2 1 1
Cartesian
0.0000 0.0000 3.6992
0.0000 0.0000 34.9480
0.0000 0.0000 0.0000
0.0000 0.0000 19.3236

=====

No. 10
Ac2LaI2N2 GGA-PBE relaxed; E_form (uncorrected) = -1.112 eV/atom; calculated volume = 31.64 Å³/atom; DOS(E_F) = 0.270 states/eV per atom; symmetry = I4/mmm, No. 139
1.0
-2.3932 2.3932 9.6661
2.3932 -2.3932 9.6661
2.3932 2.3932 -9.6661
Ac La I N
2 1 2 2
Cartesian
0.0000 0.0000 1.6194
0.0000 0.0000 17.7128
0.0000 0.0000 9.6661
0.0000 0.0000 6.3379
0.0000 0.0000 12.9943
2.3932 0.0000 0.0000
0.0000 2.3932 0.0000

=====

No. 11
AcLaI2N GGA-PBE relaxed; E_form (uncorrected) = -1.199 eV/atom; calculated volume = 32.20 Å³/atom; DOS(E_F) = 0.614 states/eV per atom; symmetry = P4/nmm, No. 129
1.0
4.4661 0.0000 0.0000
0.0000 4.4661 0.0000
0.0000 0.0000 16.1457
Ac La I N
2 2 4 2
Cartesian
1.1165 1.1165 1.1466
3.3496 3.3496 14.9991
1.1165 1.1165 9.4241
3.3496 3.3496 6.7216
1.1165 1.1165 6.0742
1.1165 1.1165 12.6613
3.3496 3.3496 3.4844
3.3496 3.3496 10.0715
1.1165 3.3496 0.0000
3.3496 1.1165 0.0000

=====

No. 12
Ac2LaNi2I2 GGA-PBE relaxed; E_form (uncorrected) = -0.659 eV/atom; calculated volume = 32.77 Å³/atom; DOS(E_F) = 0.897 states/eV per atom; symmetry = I4/mmm, No. 139
1.0
-2.5219 2.5219 9.0158
2.5219 -2.5219 9.0158
2.5219 2.5219 -9.0158
Ac La Ni I
2 1 2 2
Cartesian
0.0000 0.0000 1.9904
0.0000 0.0000 16.0413
0.0000 0.0000 9.0158
2.5219 0.0000 0.0000
0.0000 2.5219 0.0000
0.0000 0.0000 5.5884
0.0000 0.0000 12.4433

=====

No. 13
AcLaNiI GGA-PBE relaxed; E_form (uncorrected) = -0.722 eV/atom; calculated volume = 33.45 Å³/atom; DOS(E_F) = 0.805 states/eV per atom; symmetry = R3m, No. 160
1.0
2.1414 1.2363 8.4213
-2.1414 1.2363 8.4213
0.0000 -2.4727 8.4213
Ac La Ni I
1 1 1 1
Cartesian
0.0000 0.0000 0.0000
0.0000 0.0000 5.3534
0.0000 0.0000 15.2183
0.0000 0.0000 19.6365

=====

No. 14
Ac2LaIO8 GGA-PBE relaxed; E_form (uncorrected) = -2.266 eV/atom; calculated volume = 17.59 Å³/atom; DOS(E_F) = 0.000 states/eV per atom; symmetry = P2/m, No. 10
1.0
5.3427 0.0000 0.0000
0.0000 7.3866 0.0000
-0.1116 0.0000 5.3487
Ac La I O
2 1 1 8
Cartesian
0.0000 1.7912 0.0000
0.0000 5.5953 0.0000
2.6156 3.6933 2.6744
2.6156 0.0000 2.6744
1.0153 3.6933 1.0412
1.2844 0.0000 1.3274
1.6888 1.4258 3.5927
1.6888 5.9607 3.5927
3.5423 1.4258 1.7560
3.5423 5.9607 1.7560
3.9467 0.0000 4.0213
4.2158 3.6933 4.3075

=====

No. 15
Ac2LaIO4 GGA-PBE relaxed; E_form (uncorrected) = -3.139 eV/atom; calculated volume = 22.76 Å³/atom; DOS(E_F) = 0.000 states/eV per atom; symmetry = P4/mmm, No. 123
1.0
4.2334 0.0000 0.0000
0.0000 4.2334 0.0000
0.0000 0.0000 10.1579
Ac La I O
2 1 1 4
Cartesian
0.0000 0.0000 2.5183
0.0000 0.0000 7.6396
2.1167 2.1167 5.0789
2.1167 2.1167 0.0000
0.0000 2.1167 3.6071
0.0000 2.1167 6.5508
2.1167 0.0000 3.6071
2.1167 0.0000 6.5508

=====

No. 16
AcLaPdI GGA-PBE relaxed; E_form (uncorrected) = -0.948 eV/atom; calculated volume = 35.55 Å³/atom; DOS(E_F) = 0.860 states/eV per atom; symmetry = R3m, No. 160
1.0
2.1952 1.2674 8.5166
-2.1952 1.2674 8.5166
0.0000 -2.5348 8.5166
Ac La Pd I
1 1 1 1
Cartesian
0.0000 0.0000 0.0000
0.0000 0.0000 20.2482
0.0000 0.0000 10.1878
0.0000 0.0000 14.3030

=====

No. 17
Ac2LaPt2I2 GGA-PBE relaxed; E_form (uncorrected) = -1.093 eV/atom; calculated volume = 36.80 Å³/atom; DOS(E_F) = 0.773 states/eV per atom; symmetry = I4/mmm, No. 139
1.0
-2.7074 2.7074 8.7866
2.7074 -2.7074 8.7866
2.7074 2.7074 -8.7866
Ac La Pt I
2 1 2 2
Cartesian
0.0000 0.0000 1.9037
0.0000 0.0000 15.6695
0.0000 0.0000 8.7866
2.7074 0.0000 0.0000
0.0000 2.7074 0.0000
0.0000 0.0000 5.3594
0.0000 0.0000 12.2138

=====

No. 18
AcLa2Pt2I2 GGA-PBE relaxed; E_form (uncorrected) = -0.928 eV/atom; calculated volume = 37.33 Å³/atom; DOS(E_F) = 1.193 states/eV per atom; symmetry = I4/mmm, No. 139
1.0
-2.7995 2.7995 8.3350
2.7995 -2.7995 8.3350
2.7995 2.7995 -8.3350
Ac La Pt I
1 2 2 2
Cartesian
0.0000 0.0000 0.0000
0.0000 0.0000 6.6511
0.0000 0.0000 10.0188
2.7995 0.0000 0.0000
0.0000 2.7995 0.0000
0.0000 0.0000 3.3729
0.0000 0.0000 13.2970

=====

No. 19
Ac2LaRh2I2 GGA-PBE relaxed; E_form (uncorrected) = -0.850 eV/atom; calculated volume = 34.88 Å³/atom; DOS(E_F) = 0.660 states/eV per atom; symmetry = I4/mmm, No. 139
1.0
-2.6240 2.6240 8.8662
2.6240 -2.6240 8.8662
2.6240 2.6240 -8.8662
Ac La Rh I
2 1 2 2
Cartesian
0.0000 0.0000 1.9139
0.0000 0.0000 15.8186
0.0000 0.0000 8.8662
2.6240 0.0000 0.0000
0.0000 2.6240 0.0000
0.0000 0.0000 5.4420
0.0000 0.0000 12.2905

=====

No. 20
AcLa2Rh2I2 GGA-PBE relaxed; E_form (uncorrected) = -0.685 eV/atom; calculated volume = 34.44 Å³/atom; DOS(E_F) = 0.850 states/eV per atom; symmetry = I4/mmm, No. 139
1.0
-2.6528 2.6528 8.5634
2.6528 -2.6528 8.5634
2.6528 2.6528 -8.5634
Ac La Rh I
1 2 2 2
Cartesian
0.0000 0.0000 0.0000
0.0000 0.0000 6.7604
0.0000 0.0000 10.3664
2.6528 0.0000 0.0000
0.0000 2.6528 0.0000
0.0000 0.0000 3.3967
0.0000 0.0000 13.7300

=====

No. 21
AcLaRuI GGA-PBE relaxed; E_form (uncorrected) = -0.717 eV/atom; calculated volume = 33.37 Å³/atom; DOS(E_F) = 0.619 states/eV per atom; symmetry = Cm, No. 8
1.0
3.6927 -2.1303 0.0000
3.6927 2.1303 0.0000
-2.4678 0.0000 8.4850
Ac La Ru I
1 1 1 1
Cartesian
0.0000 0.0000 0.0000
0.0012 0.0000 5.3632
2.4583 0.0000 6.7669
4.9253 0.0000 2.7658

=====

No. 22
Ac2LaRu2I2 GGA-PBE relaxed; E_form (uncorrected) = -0.488 eV/atom; calculated volume = 33.63 Å³/atom; DOS(E_F) = 0.768 states/eV per atom; symmetry = I4/mmm, No. 139
1.0
-2.5602 2.5602 8.9778
2.5602 -2.5602 8.9778
2.5602 2.5602 -8.9778
Ac La Ru I
2 1 2 2
Cartesian
0.0000 0.0000 1.9324
0.0000 0.0000 16.0232
0.0000 0.0000 8.9778
2.5602 0.0000 0.0000
0.0000 2.5602 0.0000
0.0000 0.0000 5.5513
0.0000 0.0000 12.4043

=====

No. 23
AcLaSI GGA-PBE relaxed; E_form (uncorrected) = -1.502 eV/atom; calculated volume = 31.75 Å³/atom; DOS(E_F) = 0.948 states/eV per atom; symmetry = Cm, No. 8
1.0
3.6358 -2.0932 0.0000
3.6358 2.0932 0.0000
-2.4317 0.0000 8.3447
Ac La S I
1 1 1 1
Cartesian
0.0000 0.0000 0.0000
4.8407 0.0000 3.3379
2.4205 0.0000 1.7525
-0.0087 0.0000 5.7152

=====

No. 24
AcLaSbI GGA-PBE relaxed; E_form (uncorrected) = -1.066 eV/atom; calculated volume = 32.68 Å³/atom; DOS(E_F) = 0.882 states/eV per atom; symmetry = F-43m, No. 216
1.0
0.0000 4.0282 4.0282
4.0282 0.0000 4.0282
4.0282 4.0282 0.0000
Ac La Sb I
1 1 1 1
Cartesian
0.0000 0.0000 0.0000
4.0282 4.0282 4.0282
2.0141 2.0141 2.0141
6.0423 6.0423 6.0423